This record from Alexandria via LeMat-Bulk describes a geometry-optimized PmPHRh structure. The functional is PBE.

abc: 3.932 3.932 7.809
angles: 90.00 90.00 90.00
Sites, in units of the cell vectors:
Pm: 0.250 0.250 0.169
Pm: 0.750 0.750 0.831
P: 0.250 0.250 0.679
P: 0.750 0.750 0.321
H: 0.250 0.750 0.000
H: 0.750 0.250 0.000
Rh: 0.250 0.750 0.500
Rh: 0.750 0.250 0.500

Output
- density of states at the Fermi level (states/eV per atom) = 0.54
- final energy (eV/f.u.) = -24.82
- symmetry = P4/nmm, No. 129